Density functional theory data (GGA-PBE) for CeErPd4 after structural relaxation.

Summary:
size of the total moment = 1.0 μB/f.u.
calculated volume = 19.20 Å³ per atom
offset from the most stable computed form = 1.96 kcal/mol of atoms
crystal system = cubic
energy of formation = -0.7490 eV per atom

Structure (CIF):
```
data_CeErPd4
_cell_length_a 7.7240
_cell_length_b 7.7240
_cell_length_c 7.7240
_cell_angle_alpha 90.00
_cell_angle_beta 90.00
_cell_angle_gamma 90.00
_symmetry_space_group_name_H-M 'F -4 3 m'
_symmetry_Int_Tables_number 216
_symmetry_space_group_name_Hall 'F -4 2 3'
loop_
_atom_site_label
_atom_site_type_symbol
_atom_site_fract_x
_atom_site_fract_y
_atom_site_fract_z
Ce1 Ce 0.0000 0.0000 0.0000
Er1 Er 0.2500 0.2500 0.2500
Pd1 Pd 0.1247 0.1247 0.6247
```